Here is crystalline Nb2MoCI at its relaxed geometry from Alexandria via LeMat-Bulk. Energies are from PBE.

Cell: 5.1054 5.1054 3.9936 Å, 90.00 90.00 90.00°
Closest atoms and distances in Å follow each position.
Positions (direct):
Nb1 0.0000 0.5000 0.0000  2 I 2.55
Nb2 0.5000 0.0000 0.0000  2 I 2.55
Mo1 0.0000 0.0000 0.5000  8 Nb 3.24, 4 C 3.61
C1 0.5000 0.5000 0.5000  2 I 2.00
I1 0.5000 0.5000 0.0000  2 C 2.00

Properties
The value obtained for the formation energy (no corrections) is 2593 meV per atom. The spin magnetization is 0.00 μB per atom. The value obtained for the uncorrected energy is -28.78 eV for the cell shown.